Below is a relaxed structure of Nd2TmGe2, with properties calculated at the GGA-PBE level.

Results
* ΔE to the lowest computed polymorph: 0.0652 eV/atom
* ΔE_f: -0.722 eV per atom

CIF file:
```
data_Nd2TmGe2
_chemical_formula_sum 'Nd8 Tm4 Ge8'
_space_group_name_H-M_alt 'C 1 2/m 1'
_space_group_IT_number 12
_space_group_name_Hall '-C 2y'
_cell_length_a 12.461
_cell_length_b 4.427
_cell_length_c 10.787
_cell_angle_alpha 90.00
_cell_angle_beta 116.82
_cell_angle_gamma 90.00
loop_
_atom_site_label
_atom_site_type_symbol
_atom_site_fract_x
_atom_site_fract_y
_atom_site_fract_z
Nd1 Nd 0.015 0.000 0.187
Nd2 Nd 0.180 0.000 0.590
Tm1 Tm 0.223 0.500 0.865
Ge1 Ge 0.016 0.500 0.389
Ge2 Ge 0.118 0.500 0.061
```

---

Below is a relaxed structure of MnAgBr3, with properties calculated at the GGA-PBE level.

Results
* uncorrected formation energy: -0.59 eV per atom
* ΔE to the lowest computed polymorph: 0.0000 eV/atom

CIF file:
```
data_MnAgBr3
_chemical_formula_sum 'Mn4 Ag4 Br12'
_space_group_name_H-M_alt 'C 1 2/m 1'
_space_group_IT_number 12
_space_group_name_Hall '-C 2y'
_cell_length_a 7.032
_cell_length_b 12.225
_cell_length_c 7.092
_cell_angle_alpha 90.00
_cell_angle_beta 111.00
_cell_angle_gamma 90.00
loop_
_atom_site_label
_atom_site_type_symbol
_atom_site_fract_x
_atom_site_fract_y
_atom_site_fract_z
Mn1 Mn 0.000 0.168 0.000
Ag1 Ag 0.084 0.500 0.234
Br1 Br 0.210 0.000 0.240
Br2 Br 0.229 0.187 0.766
```

---

Below is a relaxed structure of Pm6Al2Tl, with properties calculated at the GGA-PBE level.

Results
* ΔE to the lowest computed polymorph: 0.0413 eV/atom
* ΔE_f: -0.204 eV per atom

CIF file:
```
data_Pm6Al2Tl
_chemical_formula_sum 'Pm6 Al2 Tl1'
_space_group_name_H-M_alt 'P -6 2 m'
_space_group_IT_number 189
_space_group_name_Hall 'P -6 -2'
_cell_length_a 8.3461
_cell_length_b 8.3461
_cell_length_c 4.4958
_cell_angle_alpha 90.00
_cell_angle_beta 90.00
_cell_angle_gamma 120.00
loop_
_atom_site_label
_atom_site_type_symbol
_atom_site_fract_x
_atom_site_fract_y
_atom_site_fract_z
Pm1 Pm 0.0000 0.4043 0.0000
Pm2 Pm 0.0000 0.7224 0.5000
Al1 Al 0.3333 0.6667 0.5000
Tl1 Tl 0.0000 0.0000 0.0000
```

---

Below is a relaxed structure of Be4ZnPt, with properties calculated at the GGA-PBE level.

Results
* ΔE_f: -0.415 eV per atom

CIF file:
```
data_Be4ZnPt
_chemical_formula_sum 'Be16 Zn4 Pt4'
_space_group_name_H-M_alt 'F -4 3 m'
_space_group_IT_number 216
_space_group_name_Hall 'F -4 2 3'
_cell_length_a 6.183
_cell_length_b 6.183
_cell_length_c 6.183
_cell_angle_alpha 90.00
_cell_angle_beta 90.00
_cell_angle_gamma 90.00
loop_
_atom_site_label
_atom_site_type_symbol
_atom_site_fract_x
_atom_site_fract_y
_atom_site_fract_z
Be1 Be 0.125 0.125 0.125
Zn1 Zn 0.000 0.000 0.500
Pt1 Pt 0.250 0.250 0.750
```

---

Below is a relaxed structure of NaGe2PI, with properties calculated at the GGA-PBE level.

Results
* uncorrected formation energy: 0.10 eV per atom

CIF file:
```
data_NaGe2PI
_chemical_formula_sum 'Na1 Ge2 P1 I1'
_space_group_name_H-M_alt 'P 4/m m m'
_space_group_IT_number 123
_space_group_name_Hall '-P 4 2'
_cell_length_a 4.910
_cell_length_b 4.910
_cell_length_c 5.857
_cell_angle_alpha 90.00
_cell_angle_beta 90.00
_cell_angle_gamma 90.00
loop_
_atom_site_label
_atom_site_type_symbol
_atom_site_fract_x
_atom_site_fract_y
_atom_site_fract_z
Na1 Na 0.000 0.000 0.000
Ge1 Ge 0.000 0.500 0.500
P1 P 0.000 0.000 0.500
I1 I 0.500 0.500 0.000
```

---

Below is a relaxed structure of Tm2Pb, with properties calculated at the GGA-PBE level.

Results
* ΔE_f: -0.374 eV per atom

CIF file:
```
data_Tm2Pb
_chemical_formula_sum 'Tm8 Pb4'
_space_group_name_H-M_alt 'I 4/m m m'
_space_group_IT_number 139
_space_group_name_Hall '-I 4 2'
_cell_length_a 4.576
_cell_length_b 4.576
_cell_length_c 16.510
_cell_angle_alpha 90.00
_cell_angle_beta 90.00
_cell_angle_gamma 90.00
loop_
_atom_site_label
_atom_site_type_symbol
_atom_site_fract_x
_atom_site_fract_y
_atom_site_fract_z
Tm1 Tm 0.000 0.000 0.172
Tm2 Tm 0.000 0.500 0.000
Pb1 Pb 0.000 0.000 0.360
```

---

Below is a relaxed structure of Nd3ScPt2, with properties calculated at the GGA-PBE level.

Results
* ΔE_f: -0.760 eV per atom

CIF file:
```
data_Nd3ScPt2
_chemical_formula_sum 'Nd6 Sc2 Pt4'
_space_group_name_H-M_alt 'C 1 2/m 1'
_space_group_IT_number 12
_space_group_name_Hall '-C 2y'
_cell_length_a 15.447
_cell_length_b 4.590
_cell_length_c 4.667
_cell_angle_alpha 90.00
_cell_angle_beta 107.49
_cell_angle_gamma 90.00
loop_
_atom_site_label
_atom_site_type_symbol
_atom_site_fract_x
_atom_site_fract_y
_atom_site_fract_z
Nd1 Nd 0.000 0.000 0.000
Nd2 Nd 0.185 0.500 0.185
Sc1 Sc 0.000 0.500 0.500
Pt1 Pt 0.124 0.000 0.623
```

---

Below is a relaxed structure of BeAl2Ir, with properties calculated at the GGA-PBE level.

Results
* ΔE_f: -0.403 eV per atom

CIF file:
```
data_BeAl2Ir
_chemical_formula_sum 'Be2 Al4 Ir2'
_space_group_name_H-M_alt 'C 1 m 1'
_space_group_IT_number 8
_space_group_name_Hall 'C -2y'
_cell_length_a 8.717
_cell_length_b 2.858
_cell_length_c 4.394
_cell_angle_alpha 90.00
_cell_angle_beta 102.36
_cell_angle_gamma 90.00
loop_
_atom_site_label
_atom_site_type_symbol
_atom_site_fract_x
_atom_site_fract_y
_atom_site_fract_z
Be1 Be 0.000 0.000 0.000
Al1 Al 0.244 0.000 0.769
Al2 Al 0.475 0.000 0.466
Ir1 Ir 0.226 0.500 0.246
```

---

Below is a relaxed structure of LiPd7, with properties calculated at the GGA-PBE level.

Results
* ΔE_f: -0.169 eV per atom

CIF file:
```
data_LiPd7
_chemical_formula_sum 'Li4 Pd28'
_space_group_name_H-M_alt 'F m -3 m'
_space_group_IT_number 225
_space_group_name_Hall '-F 4 2 3'
_cell_length_a 7.828
_cell_length_b 7.828
_cell_length_c 7.828
_cell_angle_alpha 90.00
_cell_angle_beta 90.00
_cell_angle_gamma 90.00
loop_
_atom_site_label
_atom_site_type_symbol
_atom_site_fract_x
_atom_site_fract_y
_atom_site_fract_z
Li1 Li 0.000 0.000 0.000
Pd1 Pd 0.000 0.000 0.500
Pd2 Pd 0.000 0.250 0.250
```

---

Below is a relaxed structure of Co2AgGe, with properties calculated at the GGA-PBE level.

Results
* ΔE_f: 0.509 eV per atom

CIF file:
```
data_Co2AgGe
_chemical_formula_sum 'Co8 Ag4 Ge4'
_space_group_name_H-M_alt 'I -4 2 d'
_space_group_IT_number 122
_space_group_name_Hall 'I -4 2bw'
_cell_length_a 3.806
_cell_length_b 3.806
_cell_length_c 17.412
_cell_angle_alpha 90.00
_cell_angle_beta 90.00
_cell_angle_gamma 90.00
loop_
_atom_site_label
_atom_site_type_symbol
_atom_site_fract_x
_atom_site_fract_y
_atom_site_fract_z
Co1 Co 0.159 0.250 0.125
Ag1 Ag 0.000 0.000 0.500
Ge1 Ge 0.000 0.000 0.000
```

---

Below is a relaxed structure of TbH2W, with properties calculated at the GGA-PBE level.

Results
* total DFT energy (no corrections): -71.0 eV for the cell shown

CIF file:
```
data_TbH2W
_chemical_formula_sum 'Tb3 H6 W3'
_space_group_name_H-M_alt 'R -3 m'
_space_group_IT_number 166
_space_group_name_Hall '-R 3 2"'
_cell_length_a 3.4189
_cell_length_b 3.4189
_cell_length_c 15.3559
_cell_angle_alpha 90.00
_cell_angle_beta 90.00
_cell_angle_gamma 120.00
loop_
_atom_site_label
_atom_site_type_symbol
_atom_site_fract_x
_atom_site_fract_y
_atom_site_fract_z
Tb1 Tb 0.0000 0.0000 0.0000
H1 H 0.0000 0.0000 0.3832
W1 W 0.0000 0.0000 0.5000
```

---

Below is a relaxed structure of Tb3Nd7Ho2, with properties calculated at the GGA-PBE level.

Results
* ΔE to the lowest computed polymorph: 0.1676 eV/atom
* ΔE_f: 0.279 eV per atom

CIF file:
```
data_Tb3Nd7Ho2
_chemical_formula_sum 'Tb3 Nd7 Ho2'
_space_group_name_H-M_alt 'P 1 2/m 1'
_space_group_IT_number 10
_space_group_name_Hall '-P 2y'
_cell_length_a 6.297
_cell_length_b 5.580
_cell_length_c 12.294
_cell_angle_alpha 90.00
_cell_angle_beta 90.88
_cell_angle_gamma 90.00
loop_
_atom_site_label
_atom_site_type_symbol
_atom_site_fract_x
_atom_site_fract_y
_atom_site_fract_z
Tb1 Tb 0.000 0.000 0.000
Tb2 Tb 0.433 0.500 0.342
Nd1 Nd 0.057 0.500 0.815
Nd2 Nd 0.256 0.000 0.547
Nd3 Nd 0.409 0.000 0.829
Nd4 Nd 0.500 0.500 0.000
Ho1 Ho 0.120 0.000 0.277
```

---

Looking at size of the total moment for the records above, in order, we have 0.0, 5.0, 0.0, 0.0, 0.0, 0.0, 0.0, 0.0, 0.0, 3.0, 0.0, 0.0 μB/f.u..